An optimized crystal structure of LaNd2SmHo. Source: the Alexandria database, functional GGA-PBE.

Output
- V: 356 Å³ per cell
- ΔH_f (0 K): 266 meV/atom

```
data_LaNd2SmHo
_symmetry_space_group_name_H-M 'P 1 2/c 1'
_symmetry_Int_Tables_number 13
_cell_length_a 8.564
_cell_length_b 6.587
_cell_length_c 6.342
_cell_angle_alpha 90.00
_cell_angle_beta 95.93
_cell_angle_gamma 90.00
loop_
_symmetry_equiv_pos_as_xyz
'x,y,z'
'-x,-y,-z'
'-x,y,-z+1/2'
'x,-y,z+1/2'
loop_
_atom_site_label
_atom_site_type_symbol
_atom_site_fract_x
_atom_site_fract_y
_atom_site_fract_z
La1 La 0.000 0.000 0.000
Nd1 Nd 0.312 0.311 0.216
Sm1 Sm 0.000 0.437 0.750
Ho1 Ho 0.500 0.165 0.750
```